(1)
Compound: InSbAs
Source: the Alexandria database
Functional: PBE
Structure: optimized geometry

Geometry as POSCAR:
```
InSbAs
1.0
5.2132 0.0000 0.0000
-2.6066 4.5148 0.0000
0.0000 0.0000 3.1980
Sb As In
1 1 1
Direct
0.3333 0.6667 0.8328
0.0000 0.0000 0.8347
0.6667 0.3333 0.3325
```

Calculated values
**Uncorrected energy**: -11.0 eV per cell
**Crystal system**: trigonal
**Raw formation energy**: 3.769 kcal/mol of atoms

(2)
Compound: Pm5CoBi
Source: the Alexandria database
Functional: PBE
Structure: optimized geometry

Geometry as POSCAR:
```
Pm5CoBi
1.0
-2.2543 -0.0397 -6.1818
0.3228 -5.7350 -3.2099
-10.6698 -4.3894 0.8407
Pm Bi Co
10 2 2
Direct
0.0218 0.4049 0.8613
0.5951 0.9782 0.6387
0.9734 0.0266 0.2500
0.4049 0.0218 0.3613
0.5643 0.2038 0.0374
0.9782 0.5951 0.1387
0.0266 0.9734 0.7500
0.4357 0.7962 0.9626
0.7962 0.4357 0.4626
0.2038 0.5643 0.5374
0.5307 0.4693 0.7500
0.4693 0.5307 0.2500
0.0000 0.0000 0.0000
0.0000 0.0000 0.5000
```

Calculated values
**Uncorrected energy**: -72.0 eV per cell
**Formation energy from the elements**: -0.177 eV per atom
**Crystal system**: monoclinic

| no. | N(E_F) (states/eV/f.u.) |
| --- | --- |
| 1 | 1.3 |
| 2 | 7.3 |